1.
Below is a relaxed GeRu crystal, with properties calculated at the PBE level.

* E_form: 1.225 eV/f.u.
* size of the total moment: 0.0 μB per formula unit

Unit cell a=6.735 b=6.735 c=6.735 alpha=90.00 beta=90.00 gamma=90.00
Sites, in units of the cell vectors:
Ge 0.250 0.000 0.500
Ge 0.750 0.000 0.500
Ge 0.000 0.500 0.250
Ge 0.000 0.500 0.750
Ge 0.500 0.250 0.000
Ge 0.500 0.750 0.000
Ru 0.250 0.500 0.000
Ru 0.750 0.500 0.000
Ru 0.500 0.000 0.250
Ru 0.500 0.000 0.750
Ru 0.000 0.250 0.500
Ru 0.000 0.750 0.500

---

2.
Below is a relaxed GeRu crystal, with properties calculated at the PBE level.

* E_form: -0.070 eV/f.u.
* size of the total moment: 0.0 μB per formula unit

Unit cell a=7.558 b=4.568 c=5.486 alpha=90.00 beta=90.00 gamma=90.00
Sites, in units of the cell vectors:
Ge 0.816 0.403 0.758
Ge 0.684 0.597 0.258
Ge 0.184 0.403 0.758
Ge 0.316 0.597 0.258
Ge 0.000 0.146 0.220
Ge 0.500 0.854 0.720
Ru 0.704 0.099 0.420
Ru 0.796 0.901 0.920
Ru 0.296 0.099 0.420
Ru 0.204 0.901 0.920
Ru 0.000 0.635 0.425
Ru 0.500 0.365 0.925

---

3.
Below is a relaxed GeRu crystal, with properties calculated at the PBE level.

* E_form: -0.390 eV/f.u.
* size of the total moment: 0.0 μB per formula unit

Unit cell a=3.523 b=3.080 c=11.305 alpha=90.00 beta=90.00 gamma=90.00
Sites, in units of the cell vectors:
Ge 0.000 0.500 0.344
Ge 0.500 0.000 0.844
Ge 0.000 0.000 0.586
Ge 0.500 0.500 0.086
Ru 0.000 0.000 0.171
Ru 0.500 0.500 0.671
Ru 0.000 0.500 0.927
Ru 0.500 0.000 0.427

---

Results for volume: 25.45 15.78 15.34 (in Å³/atom, following the order of the records).